# PBE GaF3, optimized geometry
# Energy relative to the elements, uncorrected, eV per atom: -1.503
# Total magnetic moment, μB per cell: 0.00
# E_tot, eV/atom: -3.6635
data_GaF3
_cell_length_a 5.263
_cell_length_b 5.263
_cell_length_c 5.263
_cell_angle_alpha 90.00
_cell_angle_beta 90.00
_cell_angle_gamma 90.00
_symmetry_space_group_name_H-M 'F m -3 m'
_symmetry_Int_Tables_number 225
_symmetry_space_group_name_Hall '-F 4 2 3'
loop_
_atom_site_label
_atom_site_fract_x
_atom_site_fract_y
_atom_site_fract_z
_atom_site_occupancy
Ga1 0.000 0.000 0.000 1
F1 0.000 0.000 0.500 1
F2 0.250 0.250 0.250 1